The following is a DFT calculation (PBE) of a relaxed structure of TaRe2Tc. Values from VASP.

Values from the calculation:
Calculated formation energy ... -0.0257 eV per atom
Final energy ... -47.217 eV for the cell shown
E above lowest polymorph ... 0.045 eV/atom
Total moment ... 0.0 Bohr magnetons per cell
Space-group type ... P4/mmm
Calculated volume ... 15.653 Å³ per atom

The structure in Quantum ESPRESSO input format:
```
&SYSTEM
  ibrav = 0, nat = 4, ntyp = 3
/
ATOMIC_SPECIES
Re 186.21 Re.upf
Ta 180.95 Ta.upf
Tc 98.00 Tc.upf
CELL_PARAMETERS angstrom
-3.934 -1.237 -1.732
2.076 -1.423 -3.697
0.330 -2.838 1.278
ATOMIC_POSITIONS crystal
Re 0.000 0.000 0.000
Re 0.500 0.500 0.000
Ta 0.500 0.000 0.500
Tc 0.000 0.500 0.500
```